A geometry-optimized OsPbO4 structure, computed with GGA-PBE.

The electronic total energy comes out at -80.57 eV per cell. Its energy above the most stable polymorph in this dataset is 0 meV per atom.

The space group is Cmmm (No. 65) and the conventional cell measures 7.160, 7.203 and 3.294 Å, with angles of 90.00, 90.00 and 90.00 degrees. Symmetry generates all atoms from Os at (0.000, 0.000, 0.000), Pb at (0.000, 0.500, 0.500), O at (0.000, 0.251, 0.000) and O at (0.166, 0.000, 0.500).